# NdMgCdAs2

A geometry-optimized NdMgCdAs2 structure (PBE-GGA, OQMD).

Unit cell a=4.433 b=4.433 c=7.142 alpha=90.00 beta=90.00 gamma=120.00
Positions (direct):
1 Nd 0.333 0.667 0.002
2 Cd 0.000 0.000 0.639
3 As 0.000 0.000 0.245
4 As 0.667 0.333 0.750
5 Mg 0.667 0.333 0.365

raw total energy: -20.11 eV/cell
total magnetization: 0.0 μB/f.u.
calculated volume: 121.5 Å³/cell
space group: P3m1 (156)